Below is a relaxed Dy2Ho4ErSc crystal, with properties calculated at the PBE level.

Cell: 4.945 4.945 9.859 Å, 90.00 90.00 90.00°
Space group P4/mmm (No. 123)
Unique sites:
Dy (0.000, 0.000, 0.000) [1 per cell]
Dy (0.500, 0.500, 0.500) [1 per cell]
Ho (0.000, 0.500, 0.246) [4 per cell]
Er (0.000, 0.000, 0.500) [1 per cell]
Sc (0.500, 0.500, 0.000) [1 per cell]

Output
Density of states at the Fermi level   1.443 states/eV/atom
Total magnetization   0.00 μB/cell
ΔE_f   0.03 eV/atom